{"formula": "MgMo4Se", "functional": "PBE-GGA", "state": "relaxed", "cell": [[0.000, 3.765, 3.765], [3.765, 0.000, 3.765], [3.765, 3.765, 0.000]], "species": ["Mg", "Mo", "Mo", "Mo", "Mo", "Se"], "frac_coords": [[0.000, 0.000, 0.000], [0.375, 0.375, 0.375], [0.375, 0.375, 0.874], [0.375, 0.874, 0.375], [0.874, 0.375, 0.375], [0.750, 0.750, 0.750]], "n_ef_per_ev_cell": 4.7, "formation_energy_uncorrected_ev_per_atom": 0.520, "crystal_system": "cubic", "energy_ev_per_atom": -7.5472, "vol_a3_per_cell": 107}

***

{"formula": "YHfCo2Rh", "functional": "PBE-GGA", "state": "relaxed", "cell": [[4.645, 0.000, 0.000], [0.000, 4.645, 0.000], [0.000, 0.000, 4.918]], "species": ["Y", "Hf", "Co", "Co", "Rh"], "frac_coords": [[0.000, 0.000, 0.000], [0.500, 0.500, 0.000], [0.000, 0.500, 0.500], [0.500, 0.000, 0.500], [0.000, 0.000, 0.500]], "n_ef_per_ev_cell": 7.0, "formation_energy_ev_per_atom": 0.819, "crystal_system": "tetragonal", "energy_ev_per_atom": -6.7776, "vol_a3_per_cell": 106}

***

{"formula": "Li2Tl2AsO6", "functional": "PBE-GGA", "state": "relaxed", "cell": [[2.843, 1.641, 4.899], [-2.843, 1.641, 4.899], [0.000, -3.283, 4.899]], "species": ["Li", "Li", "Tl", "Tl", "As", "O", "O", "O", "O", "O", "O"], "frac_coords": [[0.092, 0.092, 0.092], [0.908, 0.908, 0.908], [0.292, 0.292, 0.292], [0.708, 0.708, 0.708], [0.500, 0.500, 0.500], [0.272, 0.272, 0.720], [0.272, 0.720, 0.272], [0.280, 0.728, 0.728], [0.720, 0.272, 0.272], [0.728, 0.280, 0.728], [0.728, 0.728, 0.280]], "n_ef_per_ev_cell": 4.0, "formation_energy_uncorrected_ev_per_atom": -0.963, "crystal_system": "trigonal", "energy_ev_per_atom": -4.8679, "vol_a3_per_cell": 137}

***

{"formula": "Tb5DyTm12", "functional": "PBE-GGA", "state": "relaxed", "cell": [[3.046, -5.273, 0.000], [3.046, 5.273, 0.000], [-2.025, 0.000, 17.029]], "species": ["Tb", "Tb", "Tb", "Tb", "Tb", "Dy", "Tm", "Tm", "Tm", "Tm", "Tm", "Tm", "Tm", "Tm", "Tm", "Tm", "Tm", "Tm"], "frac_coords": [[0.000, 0.000, 0.000], [0.167, 0.833, 0.500], [0.333, 0.667, 0.000], [0.667, 0.333, 0.000], [0.833, 0.167, 0.500], [0.500, 0.500, 0.500], [0.056, 0.390, 0.167], [0.111, 0.111, 0.331], [0.222, 0.556, 0.669], [0.277, 0.277, 0.833], [0.390, 0.056, 0.167], [0.444, 0.778, 0.331], [0.556, 0.222, 0.669], [0.610, 0.944, 0.833], [0.723, 0.723, 0.167], [0.778, 0.444, 0.331], [0.889, 0.889, 0.669], [0.944, 0.610, 0.833]], "n_ef_per_ev_cell": 23.0, "formation_energy_ev_per_atom": 0.010, "crystal_system": "monoclinic", "energy_ev_per_atom": -4.5131, "vol_a3_per_cell": 547}

***

{"formula": "MgRe2P", "functional": "PBE-GGA", "state": "relaxed", "cell": [[9.105, 0.000, 0.000], [0.000, 3.034, 0.000], [-1.559, 0.000, 4.250]], "species": ["Mg", "Mg", "Re", "Re", "Re", "Re", "P", "P"], "frac_coords": [[0.000, 0.000, 0.000], [0.500, 0.500, 0.000], [0.234, 0.000, 0.780], [0.478, 0.000, 0.475], [0.734, 0.500, 0.780], [0.978, 0.500, 0.475], [0.255, 0.500, 0.219], [0.755, 0.000, 0.219]], "n_ef_per_ev_cell": 6.6, "formation_energy_ev_per_atom": 0.222, "crystal_system": "monoclinic", "energy_ev_per_atom": -7.7536, "polymorph_energy_ev_per_fu": 0.94, "vol_a3_per_cell": 117}

***

{"formula": "AgP2PtN", "functional": "PBE-GGA", "state": "relaxed", "cell": [[4.686, 0.000, 0.000], [0.000, 4.686, 0.000], [0.000, 0.000, 5.154]], "species": ["Ag", "P", "P", "Pt", "N"], "frac_coords": [[0.000, 0.000, 0.000], [0.000, 0.500, 0.000], [0.500, 0.000, 0.000], [0.000, 0.000, 0.500], [0.500, 0.500, 0.500]], "n_ef_per_ev_cell": 3.0, "formation_energy_uncorrected_ev_per_atom": 2.308, "crystal_system": "tetragonal", "energy_ev_per_atom": -3.2994, "vol_a3_per_cell": 113}

***

Please write out number 3 again, unchanged.
{"formula": "Li2Tl2AsO6", "functional": "PBE-GGA", "state": "relaxed", "cell": [[2.843, 1.641, 4.899], [-2.843, 1.641, 4.899], [0.000, -3.283, 4.899]], "species": ["Li", "Li", "Tl", "Tl", "As", "O", "O", "O", "O", "O", "O"], "frac_coords": [[0.092, 0.092, 0.092], [0.908, 0.908, 0.908], [0.292, 0.292, 0.292], [0.708, 0.708, 0.708], [0.500, 0.500, 0.500], [0.272, 0.272, 0.720], [0.272, 0.720, 0.272], [0.280, 0.728, 0.728], [0.720, 0.272, 0.272], [0.728, 0.280, 0.728], [0.728, 0.728, 0.280]], "n_ef_per_ev_cell": 4.0, "formation_energy_uncorrected_ev_per_atom": -0.963, "crystal_system": "trigonal", "energy_ev_per_atom": -4.8679, "vol_a3_per_cell": 137}

***

Number 1 is which compound? MgMo4Se

***

What did the second record say?
{"formula": "YHfCo2Rh", "functional": "PBE-GGA", "state": "relaxed", "cell": [[4.645, 0.000, 0.000], [0.000, 4.645, 0.000], [0.000, 0.000, 4.918]], "species": ["Y", "Hf", "Co", "Co", "Rh"], "frac_coords": [[0.000, 0.000, 0.000], [0.500, 0.500, 0.000], [0.000, 0.500, 0.500], [0.500, 0.000, 0.500], [0.000, 0.000, 0.500]], "n_ef_per_ev_cell": 7.0, "formation_energy_ev_per_atom": 0.819, "crystal_system": "tetragonal", "energy_ev_per_atom": -6.7776, "vol_a3_per_cell": 106}